Material: KHfC3
Method: DFT, PBE
State: optimized geometry

Cell: 4.4210 4.4210 4.4210 Å, 90.00 90.00 90.00°
Space group Pm-3m (No. 221)
Symmetry-distinct sites (fractional):
K 0.0000 0.0000 0.0000 x1
Hf 0.5000 0.5000 0.5000 x1
C 0.0000 0.5000 0.5000 x3

- ΔH_f (0 K) (eV per formula unit) = 8.24
- N(E_F) (states/eV/f.u.) = 4.15
- calculated density (kg/m3) = 4874
- energy relative to the lowest polymorph listed for this composition (meV/atom) = 0
- magnetization (μB per cell) = 0.0



Material: K3HfC
Method: DFT, PBE
State: optimized geometry

Cell: 5.7811 5.7811 5.7811 Å, 90.00 90.00 90.00°
Space group Pm-3m (No. 221)
Symmetry-distinct sites (fractional):
K 0.0000 0.0000 0.5000 x3
Hf 0.5000 0.5000 0.5000 x1
C 0.0000 0.0000 0.0000 x1

- ΔH_f (0 K) (eV per formula unit) = 9.41
- N(E_F) (states/eV/f.u.) = 11.13
- calculated density (kg/m3) = 2645
- energy relative to the lowest polymorph listed for this composition (meV/atom) = 0
- magnetization (μB per cell) = 2.6



Material: KLaHfC2
Method: DFT, PBE
State: optimized geometry

Cell: 4.5026 4.5026 4.9884 Å, 90.00 90.00 90.00°
Space group P4/mmm (No. 123)
Symmetry-distinct sites (fractional):
K 0.0000 0.0000 0.0000 x1
La 0.5000 0.5000 0.0000 x1
Hf 0.0000 0.0000 0.5000 x1
C 0.0000 0.5000 0.5000 x2

- ΔH_f (0 K) (eV per formula unit) = 7.48
- N(E_F) (states/eV/f.u.) = 4.39
- calculated density (kg/m3) = 6248
- magnetization (μB per cell) = 0.8



Material: KHfPCO7
Method: DFT, PBE
State: optimized geometry

Cell: 5.4237 6.6455 9.8175 Å, 90.00 95.94 90.00°
Space group P2_1 (No. 4)
Symmetry-distinct sites (fractional):
K 0.0676 0.0000 0.1206 x2
Hf 0.2741 0.8768 0.6585 x2
P 0.2751 0.3747 0.5661 x2
C 0.4744 0.8681 0.9091 x2
O 0.0670 0.3717 0.4467 x2
O 0.2267 0.8708 0.8702 x2
O 0.2513 0.5623 0.6558 x2
O 0.2599 0.1867 0.6566 x2
O 0.3967 0.3542 0.1984 x2
O 0.4364 0.3792 0.9696 x2
O 0.4737 0.8774 0.4957 x2

- raw formation energy (kJ per mole of atoms) = -231
- N(E_F) (states/eV/f.u.) = 0.00
- calculated density (kg/m3) = 3516
- magnetization (μB per cell) = 0.1



The lowest N(E_F) belongs to which entry?
KHfPCO7



Which of these has the highest magnetization?
K3HfC



Repeat the third record exactly.
Material: KLaHfC2
Method: DFT, PBE
State: optimized geometry

Cell: 4.5026 4.5026 4.9884 Å, 90.00 90.00 90.00°
Space group P4/mmm (No. 123)
Symmetry-distinct sites (fractional):
K 0.0000 0.0000 0.0000 x1
La 0.5000 0.5000 0.0000 x1
Hf 0.0000 0.0000 0.5000 x1
C 0.0000 0.5000 0.5000 x2

- ΔH_f (0 K) (eV per formula unit) = 7.48
- N(E_F) (states/eV/f.u.) = 4.39
- calculated density (kg/m3) = 6248
- magnetization (μB per cell) = 0.8



Look up the N(E_F) of the third one.
4.39 states/eV/f.u.